(1)
! KLaFeF2 (PBEsol, relaxed); values from VASP
! DOS(E_F): 7.28 states/eV/cell
! Final energy: -24.936 eV per formula unit
&SYSTEM
  ibrav = 0, nat = 5, ntyp = 4
/
ATOMIC_SPECIES
K 39.10 K.upf
La 138.91 La.upf
Fe 55.84 Fe.upf
F 19.00 F.upf
ATOMIC_POSITIONS crystal
K 0.0000 0.0000 0.0000
La 0.0000 0.0000 0.5000
Fe 0.5000 0.5000 0.0000
F 0.0000 0.5000 0.5000
F 0.5000 0.0000 0.5000
CELL_PARAMETERS angstrom
4.5456 0.0000 0.0000
0.0000 4.5456 0.0000
0.0000 0.0000 8.0729


(2)
! K2NaFeF6 (PBEsol, relaxed); values from VASP
! DOS(E_F): 11.00 states/eV/cell
! Final energy: -49.496 eV per formula unit
&SYSTEM
  ibrav = 0, nat = 10, ntyp = 4
/
ATOMIC_SPECIES
K 39.10 K.upf
Na 22.99 Na.upf
Fe 55.84 Fe.upf
F 19.00 F.upf
ATOMIC_POSITIONS crystal
K 0.2500 0.2500 0.2500
K 0.7500 0.7500 0.7500
Na 0.0000 0.0000 0.0000
Fe 0.5000 0.5000 0.5000
F 0.2719 0.2719 0.7281
F 0.2719 0.7281 0.2719
F 0.2719 0.7281 0.7281
F 0.7281 0.2719 0.2719
F 0.7281 0.2719 0.7281
F 0.7281 0.7281 0.2719
CELL_PARAMETERS angstrom
0.0000 4.0706 4.0706
4.0706 0.0000 4.0706
4.0706 4.0706 0.0000


(3)
! KFePbOF6 (PBEsol, relaxed); values from VASP
! Final energy: -52.120 eV per formula unit
&SYSTEM
  ibrav = 0, nat = 20, ntyp = 5
/
ATOMIC_SPECIES
K 39.10 K.upf
Fe 55.84 Fe.upf
Pb 207.20 Pb.upf
O 16.00 O.upf
F 19.00 F.upf
ATOMIC_POSITIONS crystal
K 0.2415 0.2606 0.9999
K 0.7585 0.7394 0.0001
Fe 0.2549 0.7583 0.7811
Fe 0.7451 0.2417 0.2189
Pb 0.2588 0.7567 0.2729
Pb 0.7412 0.2433 0.7271
O 0.0736 0.4290 0.5006
O 0.9264 0.5710 0.4994
F 0.0242 0.9847 0.8010
F 0.0280 0.5318 0.7940
F 0.2442 0.7405 0.0087
F 0.2890 0.7995 0.5752
F 0.4809 0.5265 0.7968
F 0.4824 0.9840 0.8162
F 0.5176 0.0160 0.1838
F 0.5191 0.4735 0.2032
F 0.7110 0.2005 0.4248
F 0.7558 0.2595 0.9913
F 0.9720 0.4682 0.2060
F 0.9758 0.0153 0.1990
CELL_PARAMETERS angstrom
6.0369 0.0000 0.0000
0.0683 6.0375 0.0000
0.0698 0.1384 8.9249


(4)
! K2FeSnF (PBEsol, relaxed); values from VASP
! DOS(E_F): 8.91 states/eV/cell
! Final energy: -15.759 eV per formula unit
&SYSTEM
  ibrav = 0, nat = 5, ntyp = 4
/
ATOMIC_SPECIES
K 39.10 K.upf
Fe 55.84 Fe.upf
Sn 118.71 Sn.upf
F 19.00 F.upf
ATOMIC_POSITIONS crystal
K 0.0000 0.5000 0.0000
K 0.5000 0.0000 0.0000
Fe 0.0000 0.0000 0.5000
Sn 0.5000 0.5000 0.0000
F 0.5000 0.5000 0.5000
CELL_PARAMETERS angstrom
6.8061 0.0000 0.0000
0.0000 6.8061 0.0000
0.0000 0.0000 4.4766


(5)
! LaFeOF2 (PBEsol, relaxed); values from VASP
! DOS(E_F): 9.56 states/eV/cell
! Final energy: -32.226 eV per formula unit
&SYSTEM
  ibrav = 0, nat = 5, ntyp = 4
/
ATOMIC_SPECIES
La 138.91 La.upf
Fe 55.84 Fe.upf
O 16.00 O.upf
F 19.00 F.upf
ATOMIC_POSITIONS crystal
La 0.0000 0.0000 0.0000
Fe 0.5000 0.5000 0.5000
O 0.0000 0.0000 0.5000
F 0.0000 0.5000 0.0000
F 0.5000 0.0000 0.0000
CELL_PARAMETERS angstrom
4.6007 0.0000 0.0000
0.0000 4.6007 0.0000
0.0000 0.0000 4.6239


(6)
! Li2FeF5 (PBEsol, relaxed); values from VASP
! DOS(E_F): 11.58 states/eV/cell
! Final energy: -42.456 eV per formula unit
&SYSTEM
  ibrav = 0, nat = 16, ntyp = 3
/
ATOMIC_SPECIES
Li 6.94 Li.upf
Fe 55.84 Fe.upf
F 19.00 F.upf
ATOMIC_POSITIONS crystal
Li 0.0000 0.0000 0.0000
Li 0.0115 0.0261 0.5027
Li 0.3545 0.7154 0.7919
Li 0.6604 0.2948 0.2138
Fe 0.3746 0.7567 0.2732
Fe 0.6178 0.2326 0.7165
F 0.2308 0.0439 0.7587
F 0.2575 0.8378 0.0540
F 0.3453 0.3886 0.1732
F 0.4452 0.1964 0.4671
F 0.5739 0.8598 0.5671
F 0.6490 0.5949 0.8441
F 0.7612 0.2033 0.9446
F 0.7845 0.9996 0.2514
F 0.9936 0.6542 0.3536
F 0.9957 0.3829 0.6565
CELL_PARAMETERS angstrom
5.0230 0.0000 0.0000
-2.4057 4.9221 0.0000
-0.0898 -2.5490 6.6237


(7)
! LiFeF2 (PBEsol, relaxed); values from VASP
! DOS(E_F): 3.59 states/eV/cell
! Final energy: -20.153 eV per formula unit
&SYSTEM
  ibrav = 0, nat = 4, ntyp = 3
/
ATOMIC_SPECIES
Li 6.94 Li.upf
Fe 55.84 Fe.upf
F 19.00 F.upf
ATOMIC_POSITIONS crystal
Li 0.0000 0.0000 0.0000
Fe 0.5000 0.5000 0.5000
F 0.2500 0.2500 0.2500
F 0.7500 0.7500 0.7500
CELL_PARAMETERS angstrom
0.0000 2.6774 2.6774
2.6774 0.0000 2.6774
2.6774 2.6774 0.0000


(8)
! LiFeF5 (PBEsol, relaxed); values from VASP
! Final energy: -36.263 eV per formula unit
&SYSTEM
  ibrav = 0, nat = 14, ntyp = 3
/
ATOMIC_SPECIES
Li 6.94 Li.upf
Fe 55.84 Fe.upf
F 19.00 F.upf
ATOMIC_POSITIONS crystal
Li 0.0278 0.9722 0.7500
Li 0.9722 0.0278 0.2500
Fe 0.5000 0.5000 0.0000
Fe 0.5000 0.5000 0.5000
F 0.1771 0.7520 0.0506
F 0.2237 0.3106 0.3620
F 0.2480 0.8229 0.4494
F 0.3106 0.2237 0.8620
F 0.3707 0.6293 0.7500
F 0.6293 0.3707 0.2500
F 0.6894 0.7763 0.1380
F 0.7520 0.1771 0.5506
F 0.7763 0.6894 0.6380
F 0.8229 0.2480 0.9494
CELL_PARAMETERS angstrom
4.2394 -2.8967 0.0000
4.2394 2.8967 0.0000
-3.6691 0.0000 6.6656


no.,calculated density (Mg/m³)
1,2.706
2,3.336
3,4.412
4,2.176
5,4.220
6,3.340
7,4.360
8,3.201